1.
Material: NaAl6S8
Method: DFT, GGA-PBE
State: optimized geometry

abc: 9.6920 9.6920 11.0953
angles: 90.00 90.00 120.00
Last column: nearest neighbours and their distance in Å.
Space group R-3 (No. 148, hexagonal axes)
Inequivalent atoms, fractional coordinates:
Na1 0.0000 0.0000 0.0000 (multiplicity 3)  2 S 2.70
Al1 0.0049 0.8255 0.3862 (multiplicity 18)  5 S 2.34-2.52
S1 0.0000 0.0000 0.2433 (multiplicity 6)  3 Al 2.34
S2 0.0168 0.7188 0.5853 (multiplicity 18)  4 Al 2.39-2.52

## Properties
theoretical density	2.44	Mg/m³
final energy	-4.58	eV per atom
crystal system	trigonal
M_tot	0.0	μB/f.u.
formation energy from raw total energies	-0.80	eV/atom


2.
Material: K2Na3TeO6
Method: DFT, GGA-PBE
State: optimized geometry

abc: 6.3380 11.3025 5.8420
angles: 90.00 112.33 90.00
Last column: nearest neighbours and their distance in Å.
Space group C2/m (No. 12)
Inequivalent atoms, fractional coordinates:
K1 0.0000 0.1715 0.0000 (multiplicity 4)  6 O 2.68-2.78
Na1 0.0000 0.0000 0.5000 (multiplicity 2)  4 O 2.42
Na2 0.0000 0.3624 0.5000 (multiplicity 4)  4 O 2.33-2.37
Te1 0.0000 0.5000 0.0000 (multiplicity 2)  6 O 1.96-1.98
O1 0.1928 0.5000 0.8057 (multiplicity 4)  1 Te 1.96
O2 0.1945 0.3779 0.2251 (multiplicity 8)  1 Te 1.98

## Properties
theoretical density	3.18	Mg/m³
final energy	-4.63	eV per atom
crystal system	monoclinic
M_tot	1.1	μB/f.u.
formation energy from raw total energies	-1.37	eV/atom


3.
Material: Mo3PbC
Method: DFT, GGA-PBE
State: optimized geometry

abc: 4.2571 4.2571 4.2571
angles: 90.00 90.00 90.00
Last column: nearest neighbours and their distance in Å.
Space group Pm-3m (No. 221)
Inequivalent atoms, fractional coordinates:
Mo1 0.0000 0.0000 0.5000 (multiplicity 3)  2 C 2.13
Pb1 0.5000 0.5000 0.5000 (multiplicity 1)  12 Mo 3.01
C1 0.0000 0.0000 0.0000 (multiplicity 1)  6 Mo 2.13

## Properties
distance to the lowest polymorph of the same formula	0.00	eV/f.u.
theoretical density	10.91	Mg/m³
final energy	-8.71	eV per atom
crystal system	cubic
M_tot	0.0	μB/f.u.
formation energy	1.86	eV per formula unit


4.
Material: KSiHgAs2
Method: DFT, GGA-PBE
State: optimized geometry

abc: 6.1623 13.6175 7.1386
angles: 90.00 90.00 90.00
Last column: nearest neighbours and their distance in Å.
Space group Cmme (No. 67)
Inequivalent atoms, fractional coordinates:
K1 0.0000 0.2500 0.2257 (multiplicity 4)  6 As 3.56-3.71, 2 Hg 3.93
Si1 0.2500 0.0000 0.0000 (multiplicity 4)  4 As 2.43
Hg1 0.0000 0.0000 0.5000 (multiplicity 4)  2 As 2.64
As1 0.0000 0.0998 0.8172 (multiplicity 8)  2 Si 2.43, 1 Hg 2.64

## Properties
theoretical density	4.63	Mg/m³
final energy	-3.38	eV per atom
crystal system	orthorhombic
M_tot	0.0	μB/f.u.
formation energy from raw total energies	-0.15	eV/atom